Crystalline ZnCrOs2Rh at its relaxed geometry, computed with PBE-GGA.

Lattice parameters (Å, degrees): 4.700 4.700 4.404 90.00 90.00 90.00
Space group P4/mmm (No. 123)
Asymmetric unit:
Zn1 0.000 0.000 0.000
Cr1 0.500 0.500 0.000
Os1 0.000 0.500 0.500
Rh1 0.500 0.500 0.500

Calculated values
**Formation enthalpy at 0 K**: 10.41 eV per formula unit



Crystalline CrOsRu2 at its relaxed geometry, computed with PBE-GGA.

Lattice parameters (Å, degrees): 8.870 2.689 4.638 90.00 100.46 90.00
Space group Cm (No. 8)
Asymmetric unit:
Cr1 0.000 0.000 0.000
Os1 0.246 0.500 0.252
Ru1 0.253 0.000 0.764
Ru2 0.499 0.000 0.500

Calculated values
**Energy above the lowest structure with this stoichiometry**: 0.0243 eV/atom
**Formation enthalpy at 0 K**: 0.43 eV per formula unit



Crystalline CrOsRu at its relaxed geometry, computed with PBE-GGA.

Lattice parameters (Å, degrees): 2.810 4.477 13.099 90.00 90.00 90.00
Space group Fmm2 (No. 42)
Asymmetric unit:
Cr1 0.000 0.000 0.000
Os1 0.000 0.000 0.340
Ru1 0.000 0.000 0.658

Calculated values
**Energy above the lowest structure with this stoichiometry**: 0.3229 eV/atom
**Formation enthalpy at 0 K**: 1.25 eV per formula unit



Crystalline CrOsRu2 at its relaxed geometry, computed with PBE-GGA.

Lattice parameters (Å, degrees): 4.491 4.491 2.809 90.00 90.00 90.00
Space group P4/mmm (No. 123)
Asymmetric unit:
Cr1 0.000 0.000 0.000
Os1 0.500 0.500 0.000
Ru1 0.000 0.500 0.500

Calculated values
**Energy above the lowest structure with this stoichiometry**: 0.3321 eV/atom
**Formation enthalpy at 0 K**: 1.66 eV per formula unit



Crystalline CrOsRu at its relaxed geometry, computed with PBE-GGA.

Lattice parameters (Å, degrees): 4.1965 4.1965 2.6685 90.00 90.00 120.00
Space group P-6m2 (No. 187)
Asymmetric unit:
Cr1 0.0000 0.0000 0.0000
Os1 0.6667 0.3333 0.0000
Ru1 0.3333 0.6667 0.5000

Calculated values
**Energy above the lowest structure with this stoichiometry**: 0.0206 eV/atom
**Formation enthalpy at 0 K**: 0.34 eV per formula unit



Crystalline Cr2OsRu2 at its relaxed geometry, computed with PBE-GGA.

Lattice parameters (Å, degrees): 7.045 7.045 2.726 90.00 90.00 90.00
Space group P4/mbm (No. 127)
Asymmetric unit:
Cr1 0.169 0.331 0.000
Os1 0.000 0.000 0.500
Ru1 0.130 0.630 0.500

Calculated values
**Energy above the lowest structure with this stoichiometry**: 0.0469 eV/atom
**Formation enthalpy at 0 K**: 1.45 eV per formula unit



Crystalline CrOs3Ru at its relaxed geometry, computed with PBE-GGA.

Lattice parameters (Å, degrees): 4.716 7.135 8.974 90.00 109.69 90.00
Space group P2_1/c (No. 14)
Asymmetric unit:
Cr1 0.145 0.247 0.153
Os1 0.019 0.601 0.637
Os2 0.218 0.037 0.435
Os3 0.430 0.674 0.522
Ru1 0.381 0.573 0.233

Calculated values
**Energy above the lowest structure with this stoichiometry**: 0.1303 eV/atom
**Formation enthalpy at 0 K**: 1.21 eV per formula unit



Crystalline Cr2OsRu2 at its relaxed geometry, computed with PBE-GGA.

Lattice parameters (Å, degrees): 7.003 7.003 2.726 90.00 90.00 90.00
Space group P4/mbm (No. 127)
Asymmetric unit:
Cr1 0.117 0.383 0.000
Os1 0.000 0.000 0.000
Ru1 0.179 0.679 0.500

Calculated values
**Energy above the lowest structure with this stoichiometry**: 0.0000 eV/atom
**Formation enthalpy at 0 K**: 1.22 eV per formula unit